Computed, not measured: a geometry-optimized Tc2RuSe structure at the PBE level of DFT.

ΔE_f (raw), eV/atom: 0.43
Crystal system: tetragonal
SG: No. 119

a = 3.865 Å, b = 3.865 Å, c = 7.867 Å
α = 90.00°, β = 90.00°, γ = 90.00°
Fractional coordinates of all 8 atoms:
Tc1 0.000 0.000 0.000
Tc2 0.000 0.500 0.250
Tc3 0.500 0.000 0.750
Tc4 0.500 0.500 0.500
Ru1 0.000 0.500 0.750
Ru2 0.500 0.000 0.250
Se1 0.000 0.000 0.500
Se2 0.500 0.500 0.000